{"formula": "Na2P2H4N2O5", "functional": "SCAN", "state": "single point on PBEsol structure", "sg": "C2/c", "dft_energy_ev_per_atom": -7.7719, "lattice": [[-1.6488, -2.2585, -4.1763], [8.0867, -7.7793, -2.0100], [-6.2684, -8.7234, 4.1679]], "species": ["Na", "Na", "Na", "Na", "Na", "Na", "Na", "Na", "P", "P", "P", "P", "P", "P", "P", "P", "H", "H", "H", "H", "H", "H", "H", "H", "H", "H", "H", "H", "H", "H", "H", "H", "N", "N", "N", "N", "N", "N", "N", "N", "O", "O", "O", "O", "O", "O", "O", "O", "O", "O", "O", "O", "O", "O", "O", "O", "O", "O", "O", "O"], "frac_coords": [[0.4321, 0.9132, 0.8944], [0.8336, 0.8925, 0.5990], [0.3251, 0.6075, 0.9010], [0.2397, 0.5868, 0.6056], [0.7603, 0.4132, 0.3944], [0.6749, 0.3925, 0.0990], [0.1664, 0.1075, 0.4010], [0.5679, 0.0868, 0.1056], [0.8505, 0.9242, 0.3115], [0.8811, 0.8124, 0.0810], [0.7745, 0.6876, 0.4190], [0.0862, 0.5758, 0.1885], [0.9138, 0.4242, 0.8115], [0.2255, 0.3124, 0.5810], [0.1189, 0.1876, 0.9190], [0.1495, 0.0758, 0.6885], [0.2315, 0.8709, 0.1504], [0.4397, 0.8509, 0.3686], [0.9521, 0.8044, 0.8511], [0.3546, 0.7933, 0.7101], [0.8579, 0.7067, 0.7899], [0.6076, 0.6956, 0.6489], [0.6591, 0.6491, 0.1314], [0.2528, 0.6291, 0.3496], [0.7472, 0.3709, 0.6504], [0.3409, 0.3509, 0.8686], [0.3924, 0.3044, 0.3511], [0.1421, 0.2933, 0.2101], [0.6454, 0.2067, 0.2899], [0.0479, 0.1956, 0.1489], [0.5603, 0.1491, 0.6314], [0.7685, 0.1291, 0.8496], [0.0179, 0.8736, 0.1753], [0.6521, 0.8264, 0.3695], [0.8480, 0.6736, 0.1305], [0.0668, 0.6264, 0.3247], [0.9332, 0.3736, 0.6753], [0.1520, 0.3264, 0.8695], [0.3479, 0.1736, 0.6305], [0.9821, 0.1264, 0.8247], [0.3477, 0.9556, 0.6980], [0.0719, 0.9207, 0.3831], [0.5901, 0.8832, 0.0773], [0.0967, 0.8040, 0.9644], [0.8399, 0.7952, 0.7910], [0.4260, 0.7048, 0.7090], [0.8651, 0.6960, 0.5356], [0.5506, 0.6168, 0.4227], [0.3757, 0.5793, 0.1169], [0.0013, 0.5444, 0.8020], [0.9987, 0.4556, 0.1980], [0.6243, 0.4207, 0.8831], [0.4494, 0.3832, 0.5773], [0.1349, 0.3040, 0.4644], [0.5740, 0.2952, 0.2910], [0.1601, 0.2048, 0.2090], [0.9033, 0.1960, 0.0356], [0.4099, 0.1168, 0.9227], [0.9281, 0.0793, 0.6169], [0.6523, 0.0444, 0.3020]]}